[1]
DFT (PBE) results for Pm4HoIn5 after structural relaxation.

```
data_Pm4HoIn5
_space_group_name_H-M_alt 'P 4/m m m'
_space_group_IT_number 123
_space_group_name_Hall '-P 4 2'
_cell_length_a 3.8233
_cell_length_b 3.8233
_cell_length_c 19.1975
_cell_angle_alpha 90.00
_cell_angle_beta 90.00
_cell_angle_gamma 90.00
loop_
_atom_site_label
_atom_site_type_symbol
_atom_site_fract_x
_atom_site_fract_y
_atom_site_fract_z
Pm1 Pm 0.0000 0.0000 0.1013
Pm2 Pm 0.0000 0.0000 0.3045
Ho1 Ho 0.0000 0.0000 0.5000
In1 In 0.5000 0.5000 0.0000
In2 In 0.5000 0.5000 0.2028
In3 In 0.5000 0.5000 0.4067
```

* N(E_F): 5.5 states/eV/cell
* DFT formation energy: -0.49 eV/atom
* crystal system: tetragonal
* total energy: -4.2167 eV per atom
* total magnetic moment: 0.0 μB per formula unit



[2]
DFT (PBE) results for Pm7HoIn2 after structural relaxation.

```
data_Pm7HoIn2
_space_group_name_H-M_alt 'C m m m'
_space_group_IT_number 65
_space_group_name_Hall '-C 2 2'
_cell_length_a 9.3076
_cell_length_b 15.9502
_cell_length_c 5.3999
_cell_angle_alpha 90.00
_cell_angle_beta 90.00
_cell_angle_gamma 90.00
loop_
_atom_site_label
_atom_site_type_symbol
_atom_site_fract_x
_atom_site_fract_y
_atom_site_fract_z
Pm1 Pm 0.0000 0.0000 0.0000
Pm2 Pm 0.0000 0.2768 0.5000
Pm3 Pm 0.1815 0.3799 0.0000
Ho1 Ho 0.0000 0.5000 0.5000
In1 In 0.0000 0.1954 0.0000
```

* N(E_F): 40.7 states/eV/cell
* DFT formation energy: 0.33 eV/atom
* crystal system: orthorhombic
* total energy: -4.0052 eV per atom
* total magnetic moment: 0.0 μB per formula unit



[3]
DFT (PBE) results for Pm2HoIn after structural relaxation.

```
data_Pm2HoIn
_space_group_name_H-M_alt 'P 4/m m m'
_space_group_IT_number 123
_space_group_name_Hall '-P 4 2'
_cell_length_a 4.8915
_cell_length_b 4.8915
_cell_length_c 4.9591
_cell_angle_alpha 90.00
_cell_angle_beta 90.00
_cell_angle_gamma 90.00
loop_
_atom_site_label
_atom_site_type_symbol
_atom_site_fract_x
_atom_site_fract_y
_atom_site_fract_z
Pm1 Pm 0.0000 0.5000 0.0000
Ho1 Ho 0.0000 0.0000 0.5000
In1 In 0.5000 0.5000 0.5000
```

* N(E_F): 6.1 states/eV/cell
* DFT formation energy: -0.27 eV/atom
* distance to the lowest polymorph of the same formula: 0 meV per atom
* crystal system: tetragonal
* total energy: -4.4737 eV per atom
* total magnetic moment: 0.0 μB per formula unit



What is the formula in the third record? Pm2HoIn